Record 1
{
  "formula": "Zr2Np",
  "functional": "PBE",
  "state": "optimized geometry",
  "delta_e_f_ev_per_atom": 0.245,
  "de_polymorph_mev_per_atom": 34,
  "energy_ev_per_atom": -9.710,
  "lattice": [[5.953, 0.000, 0.000], [0.000, 9.139, 0.000], [0.000, 0.000, 4.863]],
  "species": ["Np", "Np", "Np", "Np", "Zr", "Zr", "Zr", "Zr", "Zr", "Zr", "Zr", "Zr"],
  "frac_coords": [[0.089, 0.000, 0.000], [0.585, 0.500, 0.000], [0.248, 0.000, 0.500], [0.744, 0.500, 0.500], [0.528, 0.167, 0.000], [0.029, 0.335, 0.000], [0.029, 0.665, 0.000], [0.528, 0.833, 0.000], [0.805, 0.165, 0.500], [0.305, 0.333, 0.500], [0.305, 0.667, 0.500], [0.805, 0.835, 0.500]]
}


Record 2
{
  "formula": "AlReAsO",
  "functional": "PBE",
  "state": "optimized geometry",
  "de_polymorph_mev_per_atom": 160,
  "energy_ev_per_atom": -7.038,
  "lattice": [[-3.015, -0.589, -1.055], [1.959, -4.586, -3.037], [-0.978, -3.596, 4.799]],
  "species": ["Al", "Al", "As", "As", "O", "O", "Re", "Re"],
  "frac_coords": [[0.000, 0.161, 0.447], [0.000, 0.839, 0.947], [0.000, 0.732, 0.381], [0.000, 0.268, 0.881], [0.500, 0.227, 0.328], [0.500, 0.773, 0.828], [0.500, 0.506, 0.098], [0.500, 0.494, 0.598]]
}